1.
# AsW3N PBE optimized geometry
data_AsW3N
_space_group_name_H-M_alt 'P m -3 m'
_space_group_IT_number 221
_space_group_name_Hall '-P 4 2 3'
_cell_length_a 4.1505
_cell_length_b 4.1505
_cell_length_c 4.1505
_cell_angle_alpha 90.00
_cell_angle_beta 90.00
_cell_angle_gamma 90.00
loop_
_atom_site_label
_atom_site_fract_x
_atom_site_fract_y
_atom_site_fract_z
As1 0.0000 0.0000 0.0000
W1 0.0000 0.5000 0.5000
N1 0.5000 0.5000 0.5000
# Relative energy among the computed polymorphs in eV/atom: 0.000
# D(E_F) in states/eV per atom: 0.854
# Formation energy from raw total energies in eV/atom: 0.394

***

2.
# AsWN2 PBE optimized geometry
data_AsWN2
_space_group_name_H-M_alt 'R -3 m'
_space_group_IT_number 166
_space_group_name_Hall '-R 3 2"'
_cell_length_a 2.9576
_cell_length_b 2.9576
_cell_length_c 19.9427
_cell_angle_alpha 90.00
_cell_angle_beta 90.00
_cell_angle_gamma 120.00
loop_
_atom_site_label
_atom_site_fract_x
_atom_site_fract_y
_atom_site_fract_z
As1 0.0000 0.0000 0.0000
W1 0.0000 0.0000 0.5000
N1 0.0000 0.0000 0.1062
# D(E_F) in states/eV per atom: 0.454
# Formation energy from raw total energies in eV/atom: 0.049

***

3.
# AsW2N PBE optimized geometry
data_AsW2N
_space_group_name_H-M_alt 'I -4 2 d'
_space_group_IT_number 122
_space_group_name_Hall 'I -4 2bw'
_cell_length_a 4.7020
_cell_length_b 4.7020
_cell_length_c 12.1074
_cell_angle_alpha 90.00
_cell_angle_beta 90.00
_cell_angle_gamma 90.00
loop_
_atom_site_label
_atom_site_fract_x
_atom_site_fract_y
_atom_site_fract_z
As1 0.0000 0.0000 0.0000
W1 0.1474 0.2500 0.6250
N1 0.0000 0.0000 0.5000
# Relative energy among the computed polymorphs in eV/atom: 0.000
# D(E_F) in states/eV per atom: 0.749
# Formation energy from raw total energies in eV/atom: 0.412

***

4.
# AsWN2 PBE optimized geometry
data_AsWN2
_space_group_name_H-M_alt 'I -4 2 d'
_space_group_IT_number 122
_space_group_name_Hall 'I -4 2bw'
_cell_length_a 5.2846
_cell_length_b 5.2846
_cell_length_c 9.1538
_cell_angle_alpha 90.00
_cell_angle_beta 90.00
_cell_angle_gamma 90.00
loop_
_atom_site_label
_atom_site_fract_x
_atom_site_fract_y
_atom_site_fract_z
As1 0.0000 0.0000 0.0000
W1 0.0000 0.0000 0.5000
N1 0.1380 0.2500 0.6250
# D(E_F) in states/eV per atom: 0.583
# Formation energy from raw total energies in eV/atom: 0.454

***

5.
# As3WN PBE optimized geometry
data_As3WN
_space_group_name_H-M_alt 'P m -3 m'
_space_group_IT_number 221
_space_group_name_Hall '-P 4 2 3'
_cell_length_a 4.8914
_cell_length_b 4.8914
_cell_length_c 4.8914
_cell_angle_alpha 90.00
_cell_angle_beta 90.00
_cell_angle_gamma 90.00
loop_
_atom_site_label
_atom_site_fract_x
_atom_site_fract_y
_atom_site_fract_z
As1 0.0000 0.0000 0.5000
W1 0.0000 0.0000 0.0000
N1 0.5000 0.5000 0.5000
# Relative energy among the computed polymorphs in eV/atom: 0.402
# D(E_F) in states/eV per atom: 0.791
# Formation energy from raw total energies in eV/atom: 1.412

***

6.
# ZnAsW2N PBE optimized geometry
data_ZnAsW2N
_space_group_name_H-M_alt 'P 4/m m m'
_space_group_IT_number 123
_space_group_name_Hall '-P 4 2'
_cell_length_a 4.1326
_cell_length_b 4.1326
_cell_length_c 4.2148
_cell_angle_alpha 90.00
_cell_angle_beta 90.00
_cell_angle_gamma 90.00
loop_
_atom_site_label
_atom_site_fract_x
_atom_site_fract_y
_atom_site_fract_z
Zn1 0.0000 0.0000 0.0000
As1 0.5000 0.5000 0.0000
W1 0.0000 0.5000 0.5000
N1 0.0000 0.0000 0.5000
# D(E_F) in states/eV per atom: 0.592
# Formation energy from raw total energies in eV/atom: 0.558

***

7.
# YAs3N PBE optimized geometry
data_YAs3N
_space_group_name_H-M_alt 'P m -3 m'
_space_group_IT_number 221
_space_group_name_Hall '-P 4 2 3'
_cell_length_a 4.4538
_cell_length_b 4.4538
_cell_length_c 4.4538
_cell_angle_alpha 90.00
_cell_angle_beta 90.00
_cell_angle_gamma 90.00
loop_
_atom_site_label
_atom_site_fract_x
_atom_site_fract_y
_atom_site_fract_z
Y1 0.0000 0.0000 0.0000
As1 0.0000 0.5000 0.5000
N1 0.5000 0.5000 0.5000
# Relative energy among the computed polymorphs in eV/atom: 0.000
# D(E_F) in states/eV per atom: 0.527
# Formation energy from raw total energies in eV/atom: 0.053

***

8.
# Y2AsN PBE optimized geometry
data_Y2AsN
_space_group_name_H-M_alt 'I -4 2 d'
_space_group_IT_number 122
_space_group_name_Hall 'I -4 2bw'
_cell_length_a 6.6686
_cell_length_b 6.6686
_cell_length_c 7.8216
_cell_angle_alpha 90.00
_cell_angle_beta 90.00
_cell_angle_gamma 90.00
loop_
_atom_site_label
_atom_site_fract_x
_atom_site_fract_y
_atom_site_fract_z
Y1 0.1789 0.7500 0.1250
As1 0.0000 0.0000 0.5000
N1 0.0000 0.0000 0.0000
# Relative energy among the computed polymorphs in eV/atom: 0.087
# D(E_F) in states/eV per atom: 0.000
# Formation energy from raw total energies in eV/atom: -1.340

***

9.
# YAs2N2 PBE optimized geometry
data_YAs2N2
_space_group_name_H-M_alt 'I 4/m m m'
_space_group_IT_number 139
_space_group_name_Hall '-I 4 2'
_cell_length_a 4.2965
_cell_length_b 4.2965
_cell_length_c 8.4607
_cell_angle_alpha 90.00
_cell_angle_beta 90.00
_cell_angle_gamma 90.00
loop_
_atom_site_label
_atom_site_fract_x
_atom_site_fract_y
_atom_site_fract_z
Y1 0.0000 0.0000 0.0000
As1 0.0000 0.0000 0.3248
N1 0.0000 0.5000 0.2500
# Relative energy among the computed polymorphs in eV/atom: 0.136
# D(E_F) in states/eV per atom: 0.661
# Formation energy from raw total energies in eV/atom: 0.495

***

10.
# YAs3N PBE optimized geometry
data_YAs3N
_space_group_name_H-M_alt 'P m -3 m'
_space_group_IT_number 221
_space_group_name_Hall '-P 4 2 3'
_cell_length_a 5.4643
_cell_length_b 5.4643
_cell_length_c 5.4643
_cell_angle_alpha 90.00
_cell_angle_beta 90.00
_cell_angle_gamma 90.00
loop_
_atom_site_label
_atom_site_fract_x
_atom_site_fract_y
_atom_site_fract_z
Y1 0.0000 0.0000 0.0000
As1 0.0000 0.0000 0.5000
N1 0.5000 0.5000 0.5000
# Relative energy among the computed polymorphs in eV/atom: 1.368
# D(E_F) in states/eV per atom: 0.466
# Formation energy from raw total energies in eV/atom: 1.421

***

no.,total DFT energy (no corrections) (eV per atom)
1,-9.97
2,-8.51
3,-9.31
4,-8.11
5,-5.63
6,-7.47
7,-5.69
8,-7.82
9,-5.99
10,-4.33